# CoCl, optimized geometry, DFT PBE-GGA
# Final energy: -4.4797 eV/atom
# Raw formation energy: -1 kJ/mol of formula units
# Density of states at the Fermi level: 8.01 states/eV/cell
# M_tot: 8.000 Bohr magnetons per cell
data_CoCl
_chemical_formula_sum 'Co4 Cl4'
_space_group_name_H-M_alt 'C 1 m 1'
_space_group_IT_number 8
_cell_length_a 8.394
_cell_length_b 3.460
_cell_length_c 6.098
_cell_angle_alpha 90.00
_cell_angle_beta 119.99
_cell_angle_gamma 90.00
loop_
_space_group_symop_operation_xyz
'x,y,z'
'x,-y,z'
'x+1/2,y+1/2,z'
'x+1/2,-y+1/2,z'
loop_
_atom_site_label
_atom_site_type_symbol
_atom_site_fract_x
_atom_site_fract_y
_atom_site_fract_z
_atom_site_occupancy
Co1 Co 0.000 0.000 0.000 1
Co2 Co 0.051 0.500 0.277 1
Cl1 Cl 0.262 0.000 0.977 1
Cl2 Cl 0.346 0.500 0.539 1